(a)
CoMoIF2 | PBE with a Hubbard U | optimized geometry

Properties
Theoretical density   4.9 Mg/m³
DOS(E_F)   3.44 states/eV/f.u.

a b c (Å): 4.083 4.083 6.563
angles (deg): 90.00 90.00 90.00
Space group P4/mmm (No. 123)
Symmetry-distinct sites (fractional):
Co 0.000 0.000 0.000
Mo 0.000 0.000 0.500
I 0.500 0.500 0.500
F 0.000 0.500 0.000

***

(b)
CoMoIF2 | PBE with a Hubbard U | optimized geometry

Properties
Theoretical density   4.4 Mg/m³
DOS(E_F)   0.77 states/eV/f.u.

a b c (Å): 4.194 4.194 6.853
angles (deg): 90.00 90.00 90.00
Space group P4/mmm (No. 123)
Symmetry-distinct sites (fractional):
Co 0.000 0.000 0.000
Mo 0.500 0.500 0.500
I 0.500 0.500 0.000
F 0.000 0.500 0.500

***

Energy comparison, zero being the most stable, in kJ/mol of atoms: (a) 23.4; (b) 0.0.

***

(a)
CoTe2IF | PBE with a Hubbard U | optimized geometry

Properties
Theoretical density   4.9 Mg/m³
DOS(E_F)   7.59 states/eV/f.u.

a b c (Å): 4.584 4.584 7.470
angles (deg): 90.00 90.00 90.00
Space group P4/mmm (No. 123)
Symmetry-distinct sites (fractional):
Co 0.000 0.000 0.000
Te 0.000 0.500 0.500
I 0.500 0.500 0.000
F 0.500 0.500 0.500

***

(b)
CoTe2IF | PBE with a Hubbard U | optimized geometry

Properties
Theoretical density   5.7 Mg/m³
DOS(E_F)   5.31 states/eV/f.u.

a b c (Å): 5.048 5.048 5.271
angles (deg): 90.00 90.00 90.00
Space group P4/mmm (No. 123)
Symmetry-distinct sites (fractional):
Co 0.000 0.000 0.000
Te 0.000 0.500 0.000
I 0.000 0.000 0.500
F 0.500 0.500 0.500

***

Energy comparison, zero being the most stable, in kJ/mol of atoms: (a) 5.3; (b) 0.0.

***

(a)
CoTeI2F | PBE with a Hubbard U | optimized geometry

Properties
Theoretical density   5.2 Mg/m³
DOS(E_F)   5.90 states/eV/f.u.

a b c (Å): 5.916 5.916 4.232
angles (deg): 90.00 90.00 90.00
Space group P4/mmm (No. 123)
Symmetry-distinct sites (fractional):
Co 0.000 0.000 0.000
Te 0.500 0.500 0.000
I 0.000 0.500 0.500
F 0.500 0.500 0.500

***

(b)
CoTeI2F | PBE with a Hubbard U | optimized geometry

Properties
Theoretical density   5.4 Mg/m³
DOS(E_F)   6.25 states/eV/f.u.

a b c (Å): 5.301 5.301 5.019
angles (deg): 90.00 90.00 90.00
Space group P4/mmm (No. 123)
Symmetry-distinct sites (fractional):
Co 0.000 0.000 0.000
Te 0.000 0.000 0.500
I 0.000 0.500 0.000
F 0.500 0.500 0.500

***

Energy comparison, zero being the most stable, in kJ/mol of atoms: (a) 13.3; (b) 0.0.

***

(a)
InCo3F | PBE with a Hubbard U | optimized geometry

Properties
Theoretical density   6.8 Mg/m³
DOS(E_F)   1.55 states/eV/f.u.

a b c (Å): 4.228 4.228 4.228
angles (deg): 90.00 90.00 90.00
Space group Pm-3m (No. 221)
Symmetry-distinct sites (fractional):
In 0.000 0.000 0.000
Co 0.000 0.500 0.500
F 0.500 0.500 0.500

***

(b)
InCo3F | PBE with a Hubbard U | optimized geometry

Properties
Theoretical density   4.3 Mg/m³
DOS(E_F)   1.69 states/eV/f.u.

a b c (Å): 4.941 4.941 4.941
angles (deg): 90.00 90.00 90.00
Space group Pm-3m (No. 221)
Symmetry-distinct sites (fractional):
In 0.000 0.000 0.000
Co 0.000 0.000 0.500
F 0.500 0.500 0.500

***

Energy comparison, zero being the most stable, in kJ/mol of atoms: (a) 0.0; (b) 118.9.

***

(a)
In3CoF | PBE with a Hubbard U | optimized geometry

Properties
Theoretical density   5.9 Mg/m³
DOS(E_F)   3.25 states/eV/f.u.

a b c (Å): 4.928 4.928 4.928
angles (deg): 90.00 90.00 90.00
Space group Pm-3m (No. 221)
Symmetry-distinct sites (fractional):
In 0.000 0.000 0.500
Co 0.500 0.500 0.500
F 0.000 0.000 0.000

***

(b)
In3CoF | PBE with a Hubbard U | optimized geometry

Properties
Theoretical density   6.0 Mg/m³
DOS(E_F)   2.15 states/eV/f.u.

a b c (Å): 4.876 4.876 4.876
angles (deg): 90.00 90.00 90.00
Space group Pm-3m (No. 221)
Symmetry-distinct sites (fractional):
In 0.000 0.000 0.500
Co 0.000 0.000 0.000
F 0.500 0.500 0.500

***

Energy comparison, zero being the most stable, in kJ/mol of atoms: (a) 26.0; (b) 0.0.

***

(a)
In2CoF | PBE with a Hubbard U | optimized geometry

Properties
Theoretical density   7.1 Mg/m³
DOS(E_F)   0.47 states/eV/f.u.

a b c (Å): 6.527 6.527 6.783
angles (deg): 90.00 90.00 90.00
Space group I-42d (No. 122)
Symmetry-distinct sites (fractional):
In 0.237 0.750 0.125
Co 0.000 0.000 0.500
F 0.000 0.000 0.000

***

(b)
In2CoF | PBE with a Hubbard U | optimized geometry

Properties
Theoretical density   7.7 Mg/m³
DOS(E_F)   2.19 states/eV/f.u.

a b c (Å): 6.413 6.413 6.413
angles (deg): 90.00 90.00 90.00
Space group Fm-3m (No. 225)
Symmetry-distinct sites (fractional):
In 0.250 0.250 0.250
Co 0.000 0.000 0.000
F 0.000 0.000 0.500

***

Energy comparison, zero being the most stable, in kJ/mol of atoms: (a) 0.0; (b) 6.2.

***

(a)
LiIn2CoF | PBE with a Hubbard U | optimized geometry

Properties
Theoretical density   5.0 Mg/m³
DOS(E_F)   1.83 states/eV/f.u.

a b c (Å): 5.145 5.145 3.976
angles (deg): 90.00 90.00 90.00
Space group P4/mmm (No. 123)
Symmetry-distinct sites (fractional):
Li 0.000 0.000 0.000
In 0.000 0.500 0.500
Co 0.500 0.500 0.000
F 0.500 0.500 0.500

***

(b)
LiIn2CoF | PBE with a Hubbard U | optimized geometry

Properties
Theoretical density   5.0 Mg/m³
DOS(E_F)   4.45 states/eV/f.u.

a b c (Å): 4.959 4.959 4.241
angles (deg): 90.00 90.00 90.00
Space group P4/mmm (No. 123)
Symmetry-distinct sites (fractional):
Li 0.000 0.000 0.000
In 0.000 0.500 0.000
Co 0.000 0.000 0.500
F 0.500 0.500 0.500

***

Energy comparison, zero being the most stable, in kJ/mol of atoms: (a) 0.0; (b) 37.4.

***

(a)
CoIrF2 | PBE with a Hubbard U | optimized geometry

Properties
Theoretical density   7.6 Mg/m³
DOS(E_F)   2.35 states/eV/f.u.

a b c (Å): 5.376 5.376 8.725
angles (deg): 90.00 90.00 90.00
Space group I-42d (No. 122)
Symmetry-distinct sites (fractional):
Co 0.000 0.000 0.000
Ir 0.000 0.000 0.500
F 0.162 0.250 0.125

***

(b)
CoIrF2 | PBE with a Hubbard U | optimized geometry

Properties
Theoretical density   9.4 Mg/m³
DOS(E_F)   1.96 states/eV/f.u.

a b c (Å): 5.887 5.887 5.887
angles (deg): 90.00 90.00 90.00
Space group Fm-3m (No. 225)
Symmetry-distinct sites (fractional):
Co 0.000 0.000 0.000
Ir 0.000 0.000 0.500
F 0.250 0.250 0.250

***

Energy comparison, zero being the most stable, in kJ/mol of atoms: (a) 0.0; (b) 24.5.

***

(a)
CoIrF2 | PBE with a Hubbard U | optimized geometry

Properties
Theoretical density   8.5 Mg/m³
DOS(E_F)   1.94 states/eV/f.u.

a b c (Å): 2.6772 2.6772 27.1564
angles (deg): 90.00 90.00 120.00
Space group R-3m (No. 166, hexagonal axes)
Symmetry-distinct sites (fractional):
Co 0.0000 0.0000 0.0000
Ir 0.0000 0.0000 0.5000
F 0.0000 0.0000 0.0636

***

(b)
CoIrF2 | PBE with a Hubbard U | optimized geometry

Properties
Theoretical density   10.2 Mg/m³
DOS(E_F)   4.21 states/eV/f.u.

a b c (Å): 2.7679 2.7679 21.3067
angles (deg): 90.00 90.00 120.00
Space group R-3m (No. 166, hexagonal axes)
Symmetry-distinct sites (fractional):
Co 0.0000 0.0000 0.0000
Ir 0.0000 0.0000 0.5000
F 0.0000 0.0000 0.4019

***

Energy comparison, zero being the most stable, in kJ/mol of atoms: (a) 28.4; (b) 0.0.

***

(a)
CoIr3F | PBE with a Hubbard U | optimized geometry

Properties
Theoretical density   14.3 Mg/m³
DOS(E_F)   7.12 states/eV/f.u.

a b c (Å): 4.231 4.231 4.231
angles (deg): 90.00 90.00 90.00
Space group Pm-3m (No. 221)
Symmetry-distinct sites (fractional):
Co 0.000 0.000 0.000
Ir 0.000 0.500 0.500
F 0.500 0.500 0.500

***

(b)
CoIr3F | PBE with a Hubbard U | optimized geometry

Properties
Theoretical density   12.0 Mg/m³
DOS(E_F)   5.62 states/eV/f.u.

a b c (Å): 4.493 4.493 4.493
angles (deg): 90.00 90.00 90.00
Space group Pm-3m (No. 221)
Symmetry-distinct sites (fractional):
Co 0.000 0.000 0.000
Ir 0.000 0.000 0.500
F 0.500 0.500 0.500

***

Energy comparison, zero being the most stable, in kJ/mol of atoms: (a) 0.0; (b) 26.3.

***

(a)
CoIrF3 | PBE with a Hubbard U | optimized geometry

Properties
Theoretical density   7.8 Mg/m³
DOS(E_F)   6.54 states/eV/f.u.

a b c (Å): 4.040 4.040 4.040
angles (deg): 90.00 90.00 90.00
Space group Pm-3m (No. 221)
Symmetry-distinct sites (fractional):
Co 0.000 0.000 0.000
Ir 0.500 0.500 0.500
F 0.000 0.000 0.500

***

(b)
CoIrF3 | PBE with a Hubbard U | optimized geometry

Properties
Theoretical density   6.7 Mg/m³
DOS(E_F)   5.26 states/eV/f.u.

a b c (Å): 4.241 4.241 4.241
angles (deg): 90.00 90.00 90.00
Space group Pm-3m (No. 221)
Symmetry-distinct sites (fractional):
Co 0.000 0.000 0.000
Ir 0.500 0.500 0.500
F 0.000 0.500 0.500

***

Energy comparison, zero being the most stable, in kJ/mol of atoms: (a) 0.0; (b) 13.0.

***

(a)
KCo3F | PBE with a Hubbard U | optimized geometry

Properties
Theoretical density   4.5 Mg/m³
DOS(E_F)   2.15 states/eV/f.u.

a b c (Å): 4.410 4.410 4.410
angles (deg): 90.00 90.00 90.00
Space group Pm-3m (No. 221)
Symmetry-distinct sites (fractional):
K 0.000 0.000 0.000
Co 0.000 0.500 0.500
F 0.500 0.500 0.500

***

(b)
KCo3F | PBE with a Hubbard U | optimized geometry

Properties
Theoretical density   2.5 Mg/m³
DOS(E_F)   3.52 states/eV/f.u.

a b c (Å): 5.366 5.366 5.366
angles (deg): 90.00 90.00 90.00
Space group Pm-3m (No. 221)
Symmetry-distinct sites (fractional):
K 0.000 0.000 0.000
Co 0.000 0.000 0.500
F 0.500 0.500 0.500

***

Energy comparison, zero being the most stable, in kJ/mol of atoms: (a) 0.0; (b) 147.3.

***

(a)
K2CoF | PBE with a Hubbard U | optimized geometry

Properties
Theoretical density   1.9 Mg/m³
DOS(E_F)   0.00 states/eV/f.u.

a b c (Å): 7.685 7.685 9.247
angles (deg): 90.00 90.00 90.00
Space group I-42d (No. 122)
Symmetry-distinct sites (fractional):
K 0.156 0.250 0.125
Co 0.000 0.000 0.500
F 0.000 0.000 0.000

***

(b)
K2CoF | PBE with a Hubbard U | optimized geometry

Properties
Theoretical density   2.3 Mg/m³
DOS(E_F)   0.00 states/eV/f.u.

a b c (Å): 7.676 7.676 7.676
angles (deg): 90.00 90.00 90.00
Space group Fm-3m (No. 225)
Symmetry-distinct sites (fractional):
K 0.250 0.250 0.250
Co 0.000 0.000 0.000
F 0.000 0.000 0.500

***

Energy comparison, zero being the most stable, in kJ/mol of atoms: (a) 0.0; (b) 15.6.

***

(a)
KCoNF2 | PBE with a Hubbard U | optimized geometry

Properties
Theoretical density   2.2 Mg/m³
DOS(E_F)   2.53 states/eV/f.u.

a b c (Å): 4.771 4.771 4.897
angles (deg): 90.00 90.00 90.00
Space group P4/mmm (No. 123)
Symmetry-distinct sites (fractional):
K 0.000 0.000 0.000
Co 0.500 0.500 0.500
N 0.000 0.000 0.500
F 0.000 0.500 0.000

***

(b)
KCoNF2 | PBE with a Hubbard U | optimized geometry

Properties
Theoretical density   3.8 Mg/m³
DOS(E_F)   1.14 states/eV/f.u.

a b c (Å): 4.323 4.323 3.479
angles (deg): 90.00 90.00 90.00
Space group P4/mmm (No. 123)
Symmetry-distinct sites (fractional):
K 0.000 0.000 0.000
Co 0.500 0.500 0.500
N 0.500 0.500 0.000
F 0.000 0.500 0.500

***

Energy comparison, zero being the most stable, in kJ/mol of atoms: (a) 145.0; (b) 0.0.